No. 1
Here is crystalline K2Pu3IrO12 at its relaxed geometry from Alexandria. Energies are from GGA-PBE.

The calculation puts the magnetization at 0.27 μB per atom. For the calculated total energy, the calculation gives -8.4427 eV per atom. The calculation puts the raw formation energy at -205.9 kJ per mole of atoms.

a b c (Å): 7.505 7.505 7.505
angles (deg): 62.75 62.75 62.75
Element x y z (fractional)
1 K 0.646 0.646 0.646
2 K 0.354 0.354 0.354
3 Pu 0.000 0.500 0.000
4 Pu 0.000 0.000 0.500
5 Pu 0.500 0.000 0.000
6 O 0.938 0.938 0.305
7 O 0.321 0.321 0.943
8 O 0.057 0.679 0.679
9 O 0.938 0.305 0.938
10 O 0.062 0.062 0.695
11 O 0.943 0.321 0.321
12 O 0.695 0.062 0.062
13 O 0.679 0.679 0.057
14 O 0.305 0.938 0.938
15 O 0.062 0.695 0.062
16 O 0.321 0.943 0.321
17 O 0.679 0.057 0.679
18 Ir 0.000 0.000 0.000

=====

No. 2
Here is crystalline Sm6Dy3Tm2 at its relaxed geometry from Alexandria. Energies are from GGA-PBE.

For the formation energy, the calculation gives 0.30 eV per atom. The calculation puts the magnetization at 0.00 μB per atom. For the calculated total energy, the calculation gives -4.3465 eV per atom.

a b c (Å): 4.752 4.752 17.022
angles (deg): 98.02 98.02 90.00
Element x y z (fractional)
1 Sm 0.301 0.301 0.603
2 Sm 0.620 0.120 0.240
3 Sm 0.380 0.880 0.760
4 Sm 0.699 0.699 0.397
5 Sm 0.880 0.380 0.760
6 Sm 0.120 0.620 0.240
7 Tm 0.545 0.545 0.091
8 Tm 0.455 0.455 0.909
9 Dy 0.198 0.198 0.397
10 Dy 0.000 0.000 0.000
11 Dy 0.802 0.802 0.603

=====

No. 3
Here is crystalline LiGeB3 at its relaxed geometry from Alexandria. Energies are from GGA-PBE.

For the formation energy, the calculation gives 1.71 eV per atom. The calculation puts the magnetization at 0.00 μB per atom. For the calculated total energy, the calculation gives -3.6059 eV per atom.

a b c (Å): 4.178 4.178 4.178
angles (deg): 90.00 90.00 90.00
Element x y z (fractional)
1 B 0.000 0.000 0.500
2 B 0.500 0.000 0.000
3 B 0.000 0.500 0.000
4 Ge 0.000 0.000 0.000
5 Li 0.500 0.500 0.500